# 1
Compound: SbPb2O
Source: Alexandria
Functional: PBE
Structure: relaxed Values from VASP.

Computed properties:
Its excess energy over the best structure of this formula in the dataset is 0.333 eV/atom. Its space group is Fm-3m. The calculation puts the uncorrected formation energy at 24 kJ/mol of formula units.

```
&SYSTEM
  ibrav = 0, nat = 4, ntyp = 3
/
ATOMIC_SPECIES
O 16.00 O.upf
Pb 207.20 Pb.upf
Sb 121.76 Sb.upf
CELL_PARAMETERS angstrom
2.253 -3.272 3.258
2.657 1.794 4.015
-1.846 -0.563 4.761
ATOMIC_POSITIONS crystal
O 0.000 0.000 0.000
Pb 0.250 0.250 0.250
Pb 0.750 0.750 0.750
Sb 0.500 0.500 0.500
```

***

# 2
Compound: Mn2InAu
Source: Alexandria
Functional: PBE
Structure: relaxed Values from VASP.

Computed properties:
The formation enthalpy at 0 K comes out at 0.1367 eV per atom. Its space group is P4/mmm.

```
&SYSTEM
  ibrav = 0, nat = 4, ntyp = 3
/
ATOMIC_SPECIES
Au 196.97 Au.upf
Mn 54.94 Mn.upf
In 114.82 In.upf
CELL_PARAMETERS angstrom
3.082 0.003 0.000
-0.002 3.082 0.000
0.000 0.000 7.370
ATOMIC_POSITIONS crystal
Au 0.500 0.500 0.250
Mn 0.000 0.000 0.485
Mn 0.000 0.000 0.015
In 0.500 0.500 0.750
```

***

# 3
Compound: Na4IrSe4
Source: Alexandria
Functional: PBE
Structure: relaxed Values from VASP.

Computed properties:
Its space group is I-42m. The calculation puts the uncorrected formation energy at -494 kJ/mol of formula units.

```
&SYSTEM
  ibrav = 0, nat = 9, ntyp = 3
/
ATOMIC_SPECIES
Na 22.99 Na.upf
Se 78.96 Se.upf
Ir 192.22 Ir.upf
CELL_PARAMETERS angstrom
-1.533 -6.237 1.454
5.263 -2.079 -3.368
1.720 4.529 6.330
ATOMIC_POSITIONS crystal
Na 0.500 0.000 0.000
Na 0.698 0.698 0.395
Na 0.000 0.500 0.000
Na 0.302 0.302 0.605
Se 0.683 0.683 0.747
Se 0.936 0.317 0.253
Se 0.317 0.936 0.253
Se 0.064 0.064 0.747
Ir 0.000 0.000 0.000
```

***

# 4
Compound: Y6Ir5Rh
Source: Alexandria
Functional: PBE
Structure: relaxed Values from VASP.

Computed properties:
The formation enthalpy at 0 K comes out at -0.7974 eV per atom. Its space group is Cmmm.

```
&SYSTEM
  ibrav = 0, nat = 12, ntyp = 3
/
ATOMIC_SPECIES
Y 88.91 Y.upf
Ir 192.22 Ir.upf
Rh 102.91 Rh.upf
CELL_PARAMETERS angstrom
-0.539 -0.860 4.658
-6.164 -3.330 -1.328
3.237 -6.626 1.591
ATOMIC_POSITIONS crystal
Y 0.833 0.750 0.334
Y 0.167 0.250 0.666
Y 0.500 0.749 0.000
Y 0.500 0.251 0.000
Y 0.167 0.750 0.666
Y 0.833 0.250 0.334
Ir 0.334 0.000 0.332
Ir 0.000 0.500 0.000
Ir 0.666 0.000 0.668
Ir 0.333 0.500 0.334
Ir 0.667 0.500 0.666
Rh 0.000 0.000 0.000
```

***

no.,final energy (eV/cell)
1,-16.245
2,-23.808
3,-33.191
4,-100.010